Fe3ICl: relaxed, PBE.

Results
E_form (uncorrected): 1.3291 eV per atom
Symmetry: Pm-3m, No. 221

Lattice parameters (Å, degrees): 4.832 4.832 4.832 90.00 90.00 90.00
Fractional coordinates of all 5 atoms:
1 Fe 0.000 0.000 0.500
2 Fe 0.000 0.500 0.000
3 Fe 0.500 0.000 0.000
4 I 0.000 0.000 0.000
5 Cl 0.500 0.500 0.500